The following is a DFT calculation (PBE-GGA) of a geometry-optimized AcPr5Ho2Er structure.

Its mass density is 7.22 g cm⁻³. The energy relative to the elements is 142.9 meV/atom. As for the energy: -80.9 eV per cell. As for the space group: Cmc2_1 (36).

a b c (Å): 12.6166 12.6166 9.5498
angles (deg): 90.00 90.00 154.40
Atoms (fractional coordinates):
Ac 0.1023 0.8977 0.5000
Ac 0.8977 0.1023 0.0000
Pr 0.0246 0.9754 0.8295
Pr 0.1075 0.8925 0.1064
Pr 0.1898 0.8102 0.7952
Pr 0.2410 0.7590 0.4330
Pr 0.4897 0.5103 0.6136
Pr 0.5103 0.4897 0.1136
Pr 0.7590 0.2410 0.9330
Pr 0.8102 0.1898 0.2952
Pr 0.8925 0.1075 0.6064
Pr 0.9754 0.0246 0.3295
Ho 0.3252 0.6748 0.7488
Ho 0.3876 0.6123 0.3589
Ho 0.6123 0.3876 0.8589
Ho 0.6748 0.3252 0.2488
Er 0.2641 0.7359 0.1069
Er 0.7359 0.2641 0.6069



The following is a DFT calculation (PBE-GGA) of a geometry-optimized RbLi2TbBr6 structure.

Its mass density is 3.87 g cm⁻³. As for the energy: -36.4 eV per cell. As for the space group: P1 (1). Its formation energy without anion corrections is -1.6928 eV per atom.

a b c (Å): 7.3432 7.3517 7.9827
angles (deg): 62.60 62.69 60.10
Atoms (fractional coordinates):
Rb 0.0000 0.0000 0.0000
Li 0.2139 0.2109 0.3617
Li 0.7257 0.7262 0.8209
Tb 0.5248 0.5254 0.4239
Br 0.1149 0.7931 0.6234
Br 0.3864 0.5228 0.1466
Br 0.4670 0.1151 0.6233
Br 0.5229 0.9427 0.1466
Br 0.7924 0.4680 0.6242
Br 0.9422 0.3865 0.1480



Copy entry 1 word for word.
The following is a DFT calculation (PBE-GGA) of a geometry-optimized AcPr5Ho2Er structure.

Its mass density is 7.22 g cm⁻³. The energy relative to the elements is 142.9 meV/atom. As for the energy: -80.9 eV per cell. As for the space group: Cmc2_1 (36).

a b c (Å): 12.6166 12.6166 9.5498
angles (deg): 90.00 90.00 154.40
Atoms (fractional coordinates):
Ac 0.1023 0.8977 0.5000
Ac 0.8977 0.1023 0.0000
Pr 0.0246 0.9754 0.8295
Pr 0.1075 0.8925 0.1064
Pr 0.1898 0.8102 0.7952
Pr 0.2410 0.7590 0.4330
Pr 0.4897 0.5103 0.6136
Pr 0.5103 0.4897 0.1136
Pr 0.7590 0.2410 0.9330
Pr 0.8102 0.1898 0.2952
Pr 0.8925 0.1075 0.6064
Pr 0.9754 0.0246 0.3295
Ho 0.3252 0.6748 0.7488
Ho 0.3876 0.6123 0.3589
Ho 0.6123 0.3876 0.8589
Ho 0.6748 0.3252 0.2488
Er 0.2641 0.7359 0.1069
Er 0.7359 0.2641 0.6069